# KGeMo2O8 | the Alexandria database | PBE with a Hubbard U | optimized geometry
# - Uncorrected energy: -78.379 eV for the cell shown
# - Total magnetization: 0.47 μB per cell
# - Calculated volume: 16.81 Å³/atom
data_KGeMo2O8
_symmetry_space_group_name_H-M 'P -3'
_symmetry_Int_Tables_number 147
_cell_length_a 5.5036
_cell_length_b 5.5036
_cell_length_c 7.6920
_cell_angle_alpha 90.00
_cell_angle_beta 90.00
_cell_angle_gamma 120.00
loop_
_symmetry_equiv_pos_as_xyz
'x,y,z'
'-x,-y,-z'
'-y,x-y,z'
'y,-x+y,-z'
'-x+y,-x,z'
'x-y,x,-z'
loop_
_atom_site_label
_atom_site_type_symbol
_atom_site_fract_x
_atom_site_fract_y
_atom_site_fract_z
K1 K 0.0000 0.0000 0.0000
Ge1 Ge 0.0000 0.0000 0.5000
Mo1 Mo 0.3333 0.6667 0.7221
O1 O 0.0624 0.3158 0.6506
O2 O 0.3333 0.6667 0.9493